# Na2HgHRh

A relaxed structure of Na2HgHRh (PBE, Alexandria).

Structure (POSCAR):
```
Na2HgHRh
1.0
4.924 0.000 0.000
0.000 4.924 0.000
0.000 0.000 3.539
Na Hg H Rh
2 1 1 1
Direct
0.000 0.500 0.000
0.500 0.000 0.000
0.000 0.000 0.500
0.500 0.500 0.000
0.500 0.500 0.500
```

Values from the calculation:
Total energy   -2.769 eV per atom
Space-group type   No. 123
Magnetization   0.000 μB per atom
Calculated density   6.8 g/cm³
D(E_F)   2.061 states/eV per cell

# Na2HgSb2H2

A relaxed structure of Na2HgSb2H2 (PBE, Alexandria).

Structure (POSCAR):
```
Na2HgSb2H2
1.0
5.584 -2.047 0.000
5.584 2.047 0.000
-3.750 0.000 8.894
Na Hg Sb H
2 1 2 2
Direct
0.226 0.226 0.163
0.774 0.774 0.837
0.000 0.000 0.500
0.039 0.039 0.798
0.961 0.961 0.202
0.457 0.457 0.216
0.543 0.543 0.784
```

Values from the calculation:
Total energy   -2.546 eV per atom
Space-group type   No. 12
Magnetization   0.000 μB per atom
Calculated density   4.0 g/cm³
D(E_F)   0.097 states/eV per cell

# NaSc2HgH

A relaxed structure of NaSc2HgH (PBE, Alexandria).

Structure (POSCAR):
```
NaSc2HgH
1.0
4.487 0.000 0.000
0.000 4.487 0.000
0.000 0.000 4.531
Na Sc Hg H
1 2 1 1
Direct
0.000 0.000 0.000
0.000 0.500 0.500
0.500 0.000 0.500
0.500 0.500 0.000
0.000 0.000 0.500
```

Values from the calculation:
Total energy   -3.687 eV per atom
Space-group type   No. 123
Magnetization   0.221 μB per atom
Calculated density   5.7 g/cm³
D(E_F)   5.033 states/eV per cell

# NaSiHgH6

A relaxed structure of NaSiHgH6 (PBE, Alexandria).

Structure (POSCAR):
```
NaSiHgH6
1.0
2.550 -4.644 0.000
2.550 4.644 0.000
-0.495 0.000 4.387
Na Si Hg H
1 1 1 6
Direct
0.000 0.000 0.000
0.332 0.668 0.000
0.676 0.324 0.500
0.043 0.639 0.775
0.075 0.438 0.202
0.308 0.411 0.777
0.361 0.957 0.225
0.562 0.925 0.798
0.589 0.692 0.223
```

Values from the calculation:
Total energy   -2.888 eV per atom
Space-group type   No. 5
Magnetization   0.000 μB per atom
Calculated density   4.1 g/cm³
D(E_F)   1.246 states/eV per cell

# NaSn2HgH

A relaxed structure of NaSn2HgH (PBE, Alexandria).

Structure (POSCAR):
```
NaSn2HgH
1.0
4.770 0.000 0.000
0.000 4.770 0.000
0.000 0.000 4.638
Na Sn Hg H
1 2 1 1
Direct
0.000 0.000 0.000
0.000 0.500 0.500
0.500 0.000 0.500
0.500 0.500 0.000
0.000 0.000 0.500
```

Values from the calculation:
Total energy   -2.517 eV per atom
Space-group type   No. 123
Magnetization   0.000 μB per atom
Calculated density   7.3 g/cm³
D(E_F)   1.146 states/eV per cell

# NaSr2HgH

A relaxed structure of NaSr2HgH (PBE, Alexandria).

Structure (POSCAR):
```
NaSr2HgH
1.0
5.340 0.000 0.000
0.000 5.340 0.000
0.000 0.000 5.126
Na Sr Hg H
1 2 1 1
Direct
0.000 0.000 0.000
0.000 0.500 0.500
0.500 0.000 0.500
0.500 0.500 0.000
0.500 0.500 0.500
```

Values from the calculation:
Total energy   -1.840 eV per atom
Space-group type   No. 123
Magnetization   0.000 μB per atom
Calculated density   4.5 g/cm³
D(E_F)   3.313 states/eV per cell

# Na2SrHgH

A relaxed structure of Na2SrHgH (PBE, Alexandria).

Structure (POSCAR):
```
Na2SrHgH
1.0
4.867 0.000 0.000
0.000 4.867 0.000
0.000 0.000 5.220
Na Sr Hg H
2 1 1 1
Direct
0.000 0.500 0.000
0.500 0.000 0.000
0.000 0.000 0.500
0.500 0.500 0.500
0.000 0.000 0.000
```

Values from the calculation:
Total energy   -1.832 eV per atom
Space-group type   No. 123
Magnetization   0.000 μB per atom
Calculated density   4.5 g/cm³
D(E_F)   1.416 states/eV per cell

# NaSr2HgH

A relaxed structure of NaSr2HgH (PBE, Alexandria).

Structure (POSCAR):
```
NaSr2HgH
1.0
5.451 0.000 0.000
0.000 5.451 0.000
0.000 0.000 4.578
Na Sr Hg H
1 2 1 1
Direct
0.000 0.000 0.000
0.000 0.500 0.500
0.500 0.000 0.500
0.500 0.500 0.000
0.000 0.000 0.500
```

Values from the calculation:
Total energy   -1.979 eV per atom
Space-group type   No. 123
Magnetization   0.000 μB per atom
Calculated density   4.9 g/cm³
D(E_F)   2.807 states/eV per cell

# Na2TaHgH

A relaxed structure of Na2TaHgH (PBE, Alexandria).

Structure (POSCAR):
```
Na2TaHgH
1.0
4.224 0.000 0.000
0.000 4.224 0.000
0.000 0.000 5.639
Na Ta Hg H
2 1 1 1
Direct
0.000 0.500 0.000
0.500 0.000 0.000
0.000 0.000 0.500
0.500 0.500 0.500
0.500 0.500 0.000
```

Values from the calculation:
Total energy   -2.828 eV per atom
Space-group type   No. 123
Magnetization   0.734 μB per atom
Calculated density   7.1 g/cm³
D(E_F)   3.123 states/eV per cell

# Na2HgTe2H2

A relaxed structure of Na2HgTe2H2 (PBE, Alexandria).

Structure (POSCAR):
```
Na2HgTe2H2
1.0
4.489 0.000 0.000
-0.006 4.699 0.000
-1.893 -2.250 9.519
Na Hg Te H
2 1 2 2
Direct
0.046 0.181 0.350
0.954 0.819 0.650
0.000 0.000 0.000
0.461 0.329 0.670
0.539 0.671 0.330
0.354 0.405 0.827
0.646 0.595 0.173
```

Values from the calculation:
Total energy   -2.578 eV per atom
Space-group type   No. 2
Magnetization   0.000 μB per atom
Calculated density   4.2 g/cm³
D(E_F)   0.000 states/eV per cell

# NaHgTe2H

A relaxed structure of NaHgTe2H (PBE, Alexandria).

Structure (POSCAR):
```
NaHgTe2H
1.0
5.579 0.000 0.000
0.000 5.579 0.000
0.000 0.000 6.116
Na Hg Te H
1 1 2 1
Direct
0.000 0.000 0.000
0.000 0.000 0.500
0.000 0.500 0.000
0.500 0.000 0.000
0.500 0.500 0.500
```

Values from the calculation:
Total energy   -1.516 eV per atom
Space-group type   No. 123
Magnetization   0.176 μB per atom
Calculated density   4.2 g/cm³
D(E_F)   5.310 states/eV per cell

# NaTlHg2H

A relaxed structure of NaTlHg2H (PBE, Alexandria).

Structure (POSCAR):
```
NaTlHg2H
1.0
5.073 0.000 0.000
0.000 5.073 0.000
0.000 0.000 4.671
Na Tl Hg H
1 1 2 1
Direct
0.000 0.000 0.000
0.500 0.500 0.000
0.000 0.500 0.500
0.500 0.000 0.500
0.500 0.500 0.500
```

Values from the calculation:
Total energy   -1.396 eV per atom
Space-group type   No. 123
Magnetization   0.000 μB per atom
Calculated density   8.7 g/cm³
D(E_F)   1.931 states/eV per cell

# NaTl2HgH

A relaxed structure of NaTl2HgH (PBE, Alexandria).

Structure (POSCAR):
```
NaTl2HgH
1.0
5.731 0.000 0.000
0.000 5.731 0.000
0.000 0.000 5.754
Na Tl Hg H
1 2 1 1
Direct
0.000 0.000 0.000
0.000 0.500 0.500
0.500 0.000 0.500
0.000 0.000 0.500
0.500 0.500 0.000
```

Values from the calculation:
Total energy   -1.414 eV per atom
Space-group type   No. 123
Magnetization   0.061 μB per atom
Calculated density   5.6 g/cm³
D(E_F)   3.224 states/eV per cell

# NaTl2HgH

A relaxed structure of NaTl2HgH (PBE, Alexandria).

Structure (POSCAR):
```
NaTl2HgH
1.0
5.134 0.000 0.000
0.000 5.134 0.000
0.000 0.000 4.425
Na Tl Hg H
1 2 1 1
Direct
0.000 0.000 0.000
0.000 0.500 0.500
0.500 0.000 0.500
0.500 0.500 0.000
0.000 0.000 0.500
```

Values from the calculation:
Total energy   -1.912 eV per atom
Space-group type   No. 123
Magnetization   0.000 μB per atom
Calculated density   9.0 g/cm³
D(E_F)   2.118 states/eV per cell

# NaTlHg2H

A relaxed structure of NaTlHg2H (PBE, Alexandria).

Structure (POSCAR):
```
NaTlHg2H
1.0
5.264 0.000 0.000
0.000 5.264 0.000
0.000 0.000 4.108
Na Tl Hg H
1 1 2 1
Direct
0.000 0.000 0.000
0.500 0.500 0.000
0.000 0.500 0.500
0.500 0.000 0.500
0.000 0.000 0.500
```

Values from the calculation:
Total energy   -1.457 eV per atom
Space-group type   No. 123
Magnetization   0.000 μB per atom
Calculated density   9.2 g/cm³
D(E_F)   1.511 states/eV per cell

# NaHgH2W

A relaxed structure of NaHgH2W (PBE, Alexandria).

Structure (POSCAR):
```
NaHgH2W
1.0
4.032 0.000 0.000
0.000 4.032 0.000
0.000 0.000 5.623
Na Hg H W
1 1 2 1
Direct
0.000 0.000 0.000
0.500 0.500 0.500
0.000 0.500 0.500
0.500 0.000 0.500
0.500 0.500 0.000
```

Values from the calculation:
Total energy   -2.718 eV per atom
Space-group type   No. 123
Magnetization   0.768 μB per atom
Calculated density   7.4 g/cm³
D(E_F)   3.080 states/eV per cell

# NbHgH3

A relaxed structure of NbHgH3 (PBE, Alexandria).

Structure (POSCAR):
```
NbHgH3
1.0
3.720 0.000 0.000
0.000 3.720 0.000
0.000 0.000 3.720
Nb Hg H
1 1 3
Direct
0.000 0.000 0.000
0.500 0.500 0.500
0.000 0.500 0.500
0.500 0.000 0.500
0.500 0.500 0.000
```

Values from the calculation:
Total energy   -3.116 eV per atom
Space-group type   No. 221
Magnetization   0.000 μB per atom
Calculated density   9.6 g/cm³
D(E_F)   2.489 states/eV per cell

# NbHgH

A relaxed structure of NbHgH (PBE, Alexandria).

Structure (POSCAR):
```
NbHgH
1.0
9.558 0.000 0.000
0.000 3.230 0.000
0.000 0.000 5.590
Nb Hg H
4 4 4
Direct
0.250 0.250 0.084
0.250 0.750 0.584
0.750 0.250 0.416
0.750 0.750 0.916
0.000 0.250 0.750
0.000 0.750 0.250
0.500 0.250 0.750
0.500 0.750 0.250
0.250 0.250 0.417
0.250 0.750 0.917
0.750 0.250 0.083
0.750 0.750 0.583
```

Values from the calculation:
Total energy   -4.543 eV per atom
Space-group type   No. 62
Magnetization   0.000 μB per atom
Calculated density   11.3 g/cm³
D(E_F)   5.051 states/eV per cell

# NbHgH

A relaxed structure of NbHgH (PBE, Alexandria).

Structure (POSCAR):
```
NbHgH
1.0
-2.602 3.115 2.607
2.602 -3.115 2.607
2.602 3.115 -2.607
Nb Hg H
2 2 2
Direct
0.252 0.002 0.250
0.748 0.998 0.750
0.000 0.500 0.500
0.500 0.500 0.000
0.000 0.000 0.500
0.000 0.500 0.000
```

Values from the calculation:
Total energy   -4.238 eV per atom
Space-group type   No. 74
Magnetization   0.000 μB per atom
Calculated density   11.6 g/cm³
D(E_F)   4.064 states/eV per cell

# Nb2HgH2

A relaxed structure of Nb2HgH2 (PBE, Alexandria).

Structure (POSCAR):
```
Nb2HgH2
1.0
-1.834 1.834 4.641
1.834 -1.834 4.641
1.834 1.834 -4.641
Nb Hg H
2 1 2
Direct
0.170 0.170 0.000
0.830 0.830 0.000
0.500 0.500 0.000
0.250 0.750 0.500
0.750 0.250 0.500
```

Values from the calculation:
Total energy   -5.495 eV per atom
Space-group type   No. 139
Magnetization   0.000 μB per atom
Calculated density   10.3 g/cm³
D(E_F)   2.007 states/eV per cell

# NbHgH

A relaxed structure of NbHgH (PBE, Alexandria).

Structure (POSCAR):
```
NbHgH
1.0
1.491 -9.877 0.000
1.491 9.877 0.000
0.000 0.000 2.889
Nb Hg H
2 2 2
Direct
0.187 0.813 0.750
0.813 0.187 0.250
0.432 0.568 0.750
0.568 0.432 0.250
0.292 0.708 0.750
0.708 0.292 0.250
```

Values from the calculation:
Total energy   -4.524 eV per atom
Space-group type   No. 63
Magnetization   0.000 μB per atom
Calculated density   11.5 g/cm³
D(E_F)   2.868 states/eV per cell

# NbHgH

A relaxed structure of NbHgH (PBE, Alexandria).

Structure (POSCAR):
```
NbHgH
1.0
4.808 0.000 0.000
0.000 3.370 0.000
0.000 0.000 11.424
Nb Hg H
4 4 4
Direct
0.230 0.250 0.029
0.270 0.750 0.529
0.730 0.250 0.471
0.770 0.750 0.971
0.201 0.250 0.311
0.299 0.750 0.811
0.701 0.250 0.189
0.799 0.750 0.689
0.077 0.750 0.084
0.423 0.250 0.584
0.577 0.750 0.416
0.923 0.250 0.916
```

Values from the calculation:
Total energy   -4.444 eV per atom
Space-group type   No. 62
Magnetization   0.000 μB per atom
Calculated density   10.6 g/cm³
D(E_F)   5.422 states/eV per cell

# Nb2NiHgH

A relaxed structure of Nb2NiHgH (PBE, Alexandria).

Structure (POSCAR):
```
Nb2NiHgH
1.0
4.142 0.000 0.000
0.000 4.142 0.000
0.000 0.000 4.065
Nb Ni Hg H
2 1 1 1
Direct
0.000 0.500 0.000
0.500 0.000 0.000
0.000 0.000 0.500
0.500 0.500 0.500
0.000 0.000 0.000
```

Values from the calculation:
Total energy   -5.898 eV per atom
Space-group type   No. 123
Magnetization   0.000 μB per atom
Calculated density   10.6 g/cm³
D(E_F)   3.808 states/eV per cell

# NbHg2HO

A relaxed structure of NbHg2HO (PBE, Alexandria).

Structure (POSCAR):
```
NbHg2HO
1.0
5.478 0.000 0.000
0.000 5.478 0.000
0.000 0.000 2.654
Nb Hg H O
1 2 1 1
Direct
0.000 0.000 0.000
0.000 0.500 0.500
0.500 0.000 0.500
0.500 0.500 0.000
0.500 0.500 0.500
```

Values from the calculation:
Total energy   -3.632 eV per atom
Space-group type   No. 123
Magnetization   0.000 μB per atom
Calculated density   10.7 g/cm³
D(E_F)   4.243 states/eV per cell

# NbHg2HPb

A relaxed structure of NbHg2HPb (PBE, Alexandria).

Structure (POSCAR):
```
NbHg2HPb
1.0
5.535 0.000 0.000
0.000 5.535 0.000
0.000 0.000 5.519
Nb Hg H Pb
1 2 1 1
Direct
0.000 0.000 0.000
0.000 0.500 0.000
0.500 0.000 0.000
0.500 0.500 0.500
0.000 0.000 0.500
```

Values from the calculation:
Total energy   -2.477 eV per atom
Space-group type   No. 123
Magnetization   0.392 μB per atom
Calculated density   6.9 g/cm³
D(E_F)   5.976 states/eV per cell

# Nb2HgHPd

A relaxed structure of Nb2HgHPd (PBE, Alexandria).

Structure (POSCAR):
```
Nb2HgHPd
1.0
4.142 0.000 0.000
0.000 4.142 0.000
0.000 0.000 4.292
Nb Hg H Pd
2 1 1 1
Direct
0.000 0.500 0.000
0.500 0.000 0.000
0.000 0.000 0.500
0.500 0.500 0.000
0.500 0.500 0.500
```

Values from the calculation:
Total energy   -5.865 eV per atom
Space-group type   No. 123
Magnetization   0.000 μB per atom
Calculated density   11.1 g/cm³
D(E_F)   3.732 states/eV per cell

# Nb2HgHPt

A relaxed structure of Nb2HgHPt (PBE, Alexandria).

Structure (POSCAR):
```
Nb2HgHPt
1.0
4.228 0.000 0.000
0.000 4.228 0.000
0.000 0.000 4.131
Nb Hg H Pt
2 1 1 1
Direct
0.000 0.500 0.000
0.500 0.000 0.000
0.000 0.000 0.500
0.500 0.500 0.000
0.500 0.500 0.500
```

Values from the calculation:
Total energy   -6.067 eV per atom
Space-group type   No. 123
Magnetization   0.000 μB per atom
Calculated density   13.1 g/cm³
D(E_F)   3.090 states/eV per cell